[1]
# Rb3ErPa3Te8 PBE-GGA optimized geometry
data_Rb3ErPa3Te8
_cell_length_a 8.8048
_cell_length_b 8.8048
_cell_length_c 26.6879
_cell_angle_alpha 90.00
_cell_angle_beta 90.00
_cell_angle_gamma 120.00
_symmetry_space_group_name_H-M 'R -3 m'
_symmetry_Int_Tables_number 166
_symmetry_space_group_name_Hall '-R 3 2"'
loop_
_atom_site_label
_atom_site_type_symbol
_atom_site_fract_x
_atom_site_fract_y
_atom_site_fract_z
Rb1 Rb 0.0000 0.5000 0.0000
Er1 Er 0.0000 0.0000 0.5000
Pa1 Pa 0.0000 0.5000 0.5000
Te1 Te 0.0000 0.0000 0.2354
Te2 Te 0.0016 0.5008 0.2336
# ρ in g/cm3: 5.94
# D(E_F) in states/eV/atom: 1.375
# Raw formation energy in eV per atom: -1.019
# Energy in Ha/atom: -0.18711
# Calculated volume in Å³/atom: 39.82
# Total magnetic moment in Bohr magnetons per cell: 15.1

---

[2]
# ErPaRe PBE-GGA optimized geometry
data_ErPaRe
_cell_length_a 3.4613
_cell_length_b 3.4613
_cell_length_c 11.3749
_cell_angle_alpha 90.00
_cell_angle_beta 90.00
_cell_angle_gamma 90.00
_symmetry_space_group_name_H-M 'I 4 m m'
_symmetry_Int_Tables_number 107
_symmetry_space_group_name_Hall 'I 4 -2'
loop_
_atom_site_label
_atom_site_type_symbol
_atom_site_fract_x
_atom_site_fract_y
_atom_site_fract_z
Er1 Er 0.0000 0.0000 0.0000
Pa1 Pa 0.0000 0.0000 0.7042
Re1 Re 0.0000 0.0000 0.3283
# ρ in g/cm3: 14.24
# D(E_F) in states/eV/atom: 0.973
# Energy in Ha/atom: -0.32494
# Calculated volume in Å³/atom: 22.71
# Energy relative to the elements in eV/atom: -0.006
# Total magnetic moment in Bohr magnetons per cell: 0.0

---

[3]
# ErPaRe4 PBE-GGA optimized geometry
data_ErPaRe4
_cell_length_a 7.6731
_cell_length_b 7.6731
_cell_length_c 7.6731
_cell_angle_alpha 90.00
_cell_angle_beta 90.00
_cell_angle_gamma 90.00
_symmetry_space_group_name_H-M 'F -4 3 m'
_symmetry_Int_Tables_number 216
_symmetry_space_group_name_Hall 'F -4 2 3'
loop_
_atom_site_label
_atom_site_type_symbol
_atom_site_fract_x
_atom_site_fract_y
_atom_site_fract_z
Er1 Er 0.0000 0.0000 0.0000
Pa1 Pa 0.2500 0.2500 0.7500
Re1 Re 0.1254 0.1254 0.3746
# ρ in g/cm3: 16.81
# D(E_F) in states/eV/atom: 2.295
# Energy in Ha/atom: -0.39569
# Calculated volume in Å³/atom: 18.82
# Energy relative to the elements in eV/atom: -0.125
# Total magnetic moment in Bohr magnetons per cell: 0.0

---

[4]
# ErPaReRh PBE-GGA optimized geometry
data_ErPaReRh
_cell_length_a 6.8659
_cell_length_b 6.8659
_cell_length_c 6.8659
_cell_angle_alpha 90.00
_cell_angle_beta 90.00
_cell_angle_gamma 90.00
_symmetry_space_group_name_H-M 'F -4 3 m'
_symmetry_Int_Tables_number 216
_symmetry_space_group_name_Hall 'F -4 2 3'
loop_
_atom_site_label
_atom_site_type_symbol
_atom_site_fract_x
_atom_site_fract_y
_atom_site_fract_z
Er1 Er 0.0000 0.0000 0.0000
Pa1 Pa 0.0000 0.0000 0.5000
Re1 Re 0.2500 0.2500 0.7500
Rh1 Rh 0.2500 0.2500 0.2500
# ρ in g/cm3: 14.11
# D(E_F) in states/eV/atom: 0.505
# Energy in Ha/atom: -0.32402
# Calculated volume in Å³/atom: 20.23
# Energy relative to the elements in eV/atom: -0.352
# Total magnetic moment in Bohr magnetons per cell: 0.0

---

[5]
# ErPaReRu PBE-GGA optimized geometry
data_ErPaReRu
_cell_length_a 6.8469
_cell_length_b 6.8469
_cell_length_c 6.8469
_cell_angle_alpha 90.00
_cell_angle_beta 90.00
_cell_angle_gamma 90.00
_symmetry_space_group_name_H-M 'F -4 3 m'
_symmetry_Int_Tables_number 216
_symmetry_space_group_name_Hall 'F -4 2 3'
loop_
_atom_site_label
_atom_site_type_symbol
_atom_site_fract_x
_atom_site_fract_y
_atom_site_fract_z
Er1 Er 0.0000 0.0000 0.0000
Pa1 Pa 0.0000 0.0000 0.5000
Re1 Re 0.2500 0.2500 0.7500
Ru1 Ru 0.2500 0.2500 0.2500
# ρ in g/cm3: 14.19
# D(E_F) in states/eV/atom: 0.995
# Energy in Ha/atom: -0.33603
# Calculated volume in Å³/atom: 20.06
# Energy relative to the elements in eV/atom: -0.198
# Total magnetic moment in Bohr magnetons per cell: 0.0

---

[6]
# ErPaZnRe PBE-GGA optimized geometry
data_ErPaZnRe
_cell_length_a 6.9522
_cell_length_b 6.9522
_cell_length_c 6.9522
_cell_angle_alpha 90.00
_cell_angle_beta 90.00
_cell_angle_gamma 90.00
_symmetry_space_group_name_H-M 'F -4 3 m'
_symmetry_Int_Tables_number 216
_symmetry_space_group_name_Hall 'F -4 2 3'
loop_
_atom_site_label
_atom_site_type_symbol
_atom_site_fract_x
_atom_site_fract_y
_atom_site_fract_z
Er1 Er 0.0000 0.0000 0.0000
Pa1 Pa 0.0000 0.0000 0.5000
Zn1 Zn 0.2500 0.2500 0.2500
Re1 Re 0.2500 0.2500 0.7500
# ρ in g/cm3: 12.85
# D(E_F) in states/eV/atom: 0.605
# Energy in Ha/atom: -0.25643
# Calculated volume in Å³/atom: 21.00
# Energy relative to the elements in eV/atom: -0.033
# Total magnetic moment in Bohr magnetons per cell: 0.0

---

[7]
# Er4PaRh5 PBE-GGA optimized geometry
data_Er4PaRh5
_cell_length_a 3.4036
_cell_length_b 3.4036
_cell_length_c 17.2626
_cell_angle_alpha 90.00
_cell_angle_beta 90.00
_cell_angle_gamma 90.00
_symmetry_space_group_name_H-M 'P 4/m m m'
_symmetry_Int_Tables_number 123
_symmetry_space_group_name_Hall '-P 4 2'
loop_
_atom_site_label
_atom_site_type_symbol
_atom_site_fract_x
_atom_site_fract_y
_atom_site_fract_z
Er1 Er 0.0000 0.0000 0.0988
Er2 Er 0.0000 0.0000 0.2952
Pa1 Pa 0.0000 0.0000 0.5000
Rh1 Rh 0.5000 0.5000 0.0000
Rh2 Rh 0.5000 0.5000 0.1989
Rh3 Rh 0.5000 0.5000 0.4058
# ρ in g/cm3: 11.75
# D(E_F) in states/eV/atom: 0.741
# Energy in Ha/atom: -0.26898
# Calculated volume in Å³/atom: 20.00
# Energy relative to the elements in eV/atom: -0.869
# Total magnetic moment in Bohr magnetons per cell: 0.0

---

[8]
# Er2PaRh2 PBE-GGA optimized geometry
data_Er2PaRh2
_cell_length_a 11.1722
_cell_length_b 6.0141
_cell_length_c 7.1621
_cell_angle_alpha 90.00
_cell_angle_beta 100.27
_cell_angle_gamma 90.00
_symmetry_space_group_name_H-M 'C 1 2/c 1'
_symmetry_Int_Tables_number 15
loop_
_symmetry_equiv_pos_as_xyz
'x,y,z'
'-x,-y,-z'
'-x,y,-z+1/2'
'x,-y,z+1/2'
'x+1/2,y+1/2,z'
'-x+1/2,-y+1/2,-z'
'-x+1/2,y+1/2,-z+1/2'
'x+1/2,-y+1/2,z+1/2'
loop_
_atom_site_label
_atom_site_type_symbol
_atom_site_fract_x
_atom_site_fract_y
_atom_site_fract_z
Er1 Er 0.1553 0.1074 0.1491
Pa1 Pa 0.0000 0.4114 0.7500
Rh1 Rh 0.1545 0.3906 0.5234
# ρ in g/cm3: 10.82
# D(E_F) in states/eV/atom: 1.054
# Energy in Ha/atom: -0.27178
# Calculated volume in Å³/atom: 23.68
# Energy relative to the elements in eV/atom: -0.731
# Total magnetic moment in Bohr magnetons per cell: 0.0

---

[9]
# ErPaRh PBE-GGA optimized geometry
data_ErPaRh
_cell_length_a 6.7445
_cell_length_b 6.7445
_cell_length_c 6.7445
_cell_angle_alpha 90.00
_cell_angle_beta 90.00
_cell_angle_gamma 90.00
_symmetry_space_group_name_H-M 'F -4 3 m'
_symmetry_Int_Tables_number 216
_symmetry_space_group_name_Hall 'F -4 2 3'
loop_
_atom_site_label
_atom_site_type_symbol
_atom_site_fract_x
_atom_site_fract_y
_atom_site_fract_z
Er1 Er 0.0000 0.0000 0.0000
Pa1 Pa 0.0000 0.0000 0.5000
Rh1 Rh 0.2500 0.2500 0.7500
# Energy above the lowest structure with this stoichiometry in meV/atom: 257
# ρ in g/cm3: 10.85
# D(E_F) in states/eV/atom: 2.041
# Energy in Ha/atom: -0.26985
# Calculated volume in Å³/atom: 25.57
# Energy relative to the elements in eV/atom: -0.206
# Total magnetic moment in Bohr magnetons per cell: 2.2

---

[10]
# ErPaRh PBE-GGA optimized geometry
data_ErPaRh
_cell_length_a 6.4542
_cell_length_b 6.8132
_cell_length_c 8.6469
_cell_angle_alpha 90.00
_cell_angle_beta 127.06
_cell_angle_gamma 90.00
_symmetry_space_group_name_H-M 'P 1 21/c 1'
_symmetry_Int_Tables_number 14
loop_
_symmetry_equiv_pos_as_xyz
'x,y,z'
'-x,-y,-z'
'-x,y+1/2,-z+1/2'
'x,-y+1/2,z+1/2'
loop_
_atom_site_label
_atom_site_type_symbol
_atom_site_fract_x
_atom_site_fract_y
_atom_site_fract_z
Er1 Er 0.2178 0.0399 0.4571
Pa1 Pa 0.2498 0.5296 0.5374
Rh1 Rh 0.3000 0.7070 0.2880
# Energy above the lowest structure with this stoichiometry in meV/atom: 91
# ρ in g/cm3: 10.97
# D(E_F) in states/eV/atom: 1.414
# Energy in Ha/atom: -0.27593
# Calculated volume in Å³/atom: 25.29
# Energy relative to the elements in eV/atom: -0.372
# Total magnetic moment in Bohr magnetons per cell: 0.0